a:
This record from Alexandria via LeMat-Bulk describes an optimized crystal structure of V2GaHIr. The functional is PBE.

Cell lengths 3.8288, 3.8288, 3.9532 Å; angles 90.00, 90.00, 90.00 degrees
Closest atoms and distances in Å follow each position.
Element x y z (fractional)
H 0.0000 0.0000 0.0000  4 V 1.91, 2 Ir 1.98
Ir 0.0000 0.0000 0.5000  2 H 1.98
Ga 0.5000 0.5000 0.5000  4 Ir 2.71, 8 V 2.75
V 0.0000 0.5000 0.0000  2 H 1.91
V 0.5000 0.0000 0.0000  2 H 1.91

## Properties
* total magnetic moment: 0.00 Bohr magnetons per cell

---

b:
This record from Alexandria via LeMat-Bulk describes an optimized crystal structure of V2GaHIr. The functional is PBE.

Cell lengths 3.6754, 3.6754, 4.2853 Å; angles 90.00, 90.00, 90.00 degrees
Closest atoms and distances in Å follow each position.
Element x y z (fractional)
H 0.0000 0.0000 0.0000  4 V 1.84
Ir 0.5000 0.5000 0.5000  4 Ga 2.60, 8 V 2.82
Ga 0.0000 0.0000 0.5000  2 H 2.14
V 0.0000 0.5000 0.0000  2 H 1.84
V 0.5000 0.0000 0.0000  2 H 1.84

## Properties
* total magnetic moment: 0.00 Bohr magnetons per cell

---

Winner for stability: a

---

a:
This record from Alexandria via LeMat-Bulk describes an optimized crystal structure of KGa2H6. The functional is PBE.

Cell lengths 5.3339, 5.3335, 5.3337 Å; angles 60.00, 60.00, 60.00 degrees
Closest atoms and distances in Å follow each position.
Element x y z (fractional)
K 0.0000 0.0000 0.0000  6 H 2.82
Ga 0.7500 0.7500 0.7500  12 H 2.82
Ga 0.2500 0.2500 0.2500  12 H 2.82
H 0.3735 0.6265 0.6265  4 H 1.35
H 0.6265 0.6265 0.3735  4 H 1.35
H 0.6265 0.3735 0.6265  4 H 1.35
H 0.6265 0.3735 0.3735  4 H 1.35
H 0.3735 0.3735 0.6265  4 H 1.35
H 0.3735 0.6265 0.3735  4 H 1.35

## Properties
* total magnetic moment: 0.00 Bohr magnetons per cell

---

b:
This record from Alexandria via LeMat-Bulk describes an optimized crystal structure of KGa2H6. The functional is PBE.

Cell lengths 7.3042, 7.3042, 7.2523 Å; angles 97.08, 111.50, 120.91 degrees
Closest atoms and distances in Å follow each position.
Element x y z (fractional)
K 0.4199 0.1699 0.2500  10 H 2.72-3.01
K 0.5801 0.8301 0.7500  10 H 2.72-3.01
Ga 0.7514 0.3966 0.9069  3 H 1.57-1.59
Ga 0.9898 0.8445 0.5931  3 H 1.57-1.59
Ga 0.2486 0.6034 0.0931  3 H 1.57-1.59
Ga 0.0102 0.1555 0.4069  3 H 1.57-1.59
H 0.6750 0.2399 0.0375  1 Ga 1.59
H 0.7024 0.6374 0.4625  1 Ga 1.59
H 0.3250 0.7601 0.9625  1 Ga 1.59
H 0.2976 0.3626 0.5375  1 Ga 1.59
H 0.6631 0.2479 0.6723  1 Ga 1.58
H 0.0756 0.9908 0.8277  1 Ga 1.58
H 0.3369 0.7521 0.3277  1 Ga 1.58
H 0.9244 0.0092 0.1723  1 Ga 1.58
H 0.7507 0.6118 0.9469  1 Ga 1.57
H 0.1649 0.8038 0.5531  1 Ga 1.57
H 0.2493 0.3882 0.0531  1 Ga 1.57
H 0.8351 0.1962 0.4469  1 Ga 1.57

## Properties
* total magnetic moment: 2.01 Bohr magnetons per cell

---

c:
This record from Alexandria via LeMat-Bulk describes an optimized crystal structure of KGa2H6. The functional is PBE.

Cell lengths 6.3929, 7.5614, 7.5614 Å; angles 85.61, 63.00, 63.00 degrees
Closest atoms and distances in Å follow each position.
Element x y z (fractional)
K 0.2500 0.1696 0.8304  8 H 2.68-2.98
K 0.7500 0.8304 0.1696  8 H 2.68-2.98
Ga 0.3219 0.6365 0.7067  4 H 1.60-1.73
Ga 0.1781 0.2933 0.3635  4 H 1.60-1.73
Ga 0.6781 0.3635 0.2933  4 H 1.60-1.73
Ga 0.8219 0.7067 0.6365  4 H 1.60-1.73
H 0.6362 0.6056 0.6191  2 Ga 1.71-1.73
H 0.8638 0.3809 0.3944  2 Ga 1.71-1.73
H 0.3638 0.3944 0.3809  2 Ga 1.71-1.73
H 0.1362 0.6191 0.6056  2 Ga 1.71-1.73
H 0.7809 0.8813 0.5017  1 Ga 1.60
H 0.7191 0.4983 0.1187  1 Ga 1.60
H 0.2191 0.1187 0.4983  1 Ga 1.60
H 0.2809 0.5017 0.8813  1 Ga 1.60
H 0.1360 0.8685 0.8124  1 Ga 1.61
H 0.3640 0.1876 0.1315  1 Ga 1.61
H 0.8640 0.1315 0.1876  1 Ga 1.61
H 0.6360 0.8124 0.8685  1 Ga 1.61

## Properties
* total magnetic moment: 0.00 Bohr magnetons per cell

---

Winner for stability: c

---

a:
This record from Alexandria via LeMat-Bulk describes an optimized crystal structure of K2GaH. The functional is PBE.

Cell lengths 5.6699, 5.6699, 5.6699 Å; angles 60.00, 60.00, 60.00 degrees
Closest atoms and distances in Å follow each position.
Element x y z (fractional)
H 0.0000 0.0000 0.0000  8 K 3.47
K 0.2500 0.2500 0.2500  4 Ga 3.47, 4 H 3.47
K 0.7500 0.7500 0.7500  4 H 3.47, 4 Ga 3.47
Ga 0.5000 0.5000 0.5000  8 K 3.47

## Properties
* total magnetic moment: 1.60 Bohr magnetons per cell

---

b:
This record from Alexandria via LeMat-Bulk describes an optimized crystal structure of K2GaH. The functional is PBE.

Cell lengths 3.6874, 3.6874, 10.2565 Å; angles 79.64, 79.64, 60.00 degrees
Closest atoms and distances in Å follow each position.
Element x y z (fractional)
H 0.5000 0.5000 0.5000  6 K 2.73
K 0.1097 0.1097 0.6710  3 H 2.73
K 0.8903 0.8903 0.3290  3 H 2.73
Ga 0.0000 0.0000 0.0000  2 K 3.30, 6 Ga 3.69

## Properties
* total magnetic moment: 0.00 Bohr magnetons per cell

---

c:
This record from Alexandria via LeMat-Bulk describes an optimized crystal structure of K2GaH. The functional is PBE.

Cell lengths 7.9877, 7.9877, 7.0176 Å; angles 55.31, 55.31, 90.00 degrees
Closest atoms and distances in Å follow each position.
Element x y z (fractional)
H 0.5000 0.5000 0.0000  4 K 2.56
H 0.2500 0.7500 0.5000  4 K 2.56
K 0.5276 0.1250 0.2500  2 H 2.56
K 0.2224 0.6250 0.2500  2 H 2.56
K 0.3750 0.4724 0.7500  2 H 2.56
K 0.8750 0.7776 0.7500  2 H 2.56
Ga 0.0000 0.0000 0.0000  8 K 3.57-3.90
Ga 0.7500 0.2500 0.5000  8 K 3.57-3.90

## Properties
* total magnetic moment: 0.00 Bohr magnetons per cell

---

Winner for stability: b

---

a:
This record from Alexandria via LeMat-Bulk describes an optimized crystal structure of KGaH3. The functional is PBE.

Cell lengths 4.7012, 4.7012, 4.7012 Å; angles 90.00, 90.00, 90.00 degrees
Closest atoms and distances in Å follow each position.
Element x y z (fractional)
H 0.0000 0.5000 0.0000  2 K 2.35
H 0.0000 0.0000 0.5000  2 K 2.35
H 0.5000 0.0000 0.0000  2 K 2.35
K 0.0000 0.0000 0.0000  6 H 2.35
Ga 0.5000 0.5000 0.5000  12 H 3.32

## Properties
* total magnetic moment: 1.00 Bohr magnetons per cell

---

b:
This record from Alexandria via LeMat-Bulk describes an optimized crystal structure of KGaH3. The functional is PBE.

Cell lengths 3.9521, 3.9521, 3.9521 Å; angles 90.00, 90.00, 90.00 degrees
Closest atoms and distances in Å follow each position.
Element x y z (fractional)
H 0.0000 0.5000 0.0000  2 Ga 1.98
H 0.0000 0.0000 0.5000  2 Ga 1.98
H 0.5000 0.0000 0.0000  2 Ga 1.98
K 0.5000 0.5000 0.5000  12 H 2.79
Ga 0.0000 0.0000 0.0000  6 H 1.98

## Properties
* total magnetic moment: 0.00 Bohr magnetons per cell

---

c:
This record from Alexandria via LeMat-Bulk describes an optimized crystal structure of KGaH3. The functional is PBE.

Cell lengths 3.5820, 7.0594, 6.2853 Å; angles 90.02, 90.00, 75.58 degrees
Closest atoms and distances in Å follow each position.
Element x y z (fractional)
K 0.5181 0.3868 0.2993  7 H 2.64-2.84
K 0.2306 0.9660 0.7993  7 H 2.64-2.84
Ga 0.7867 0.8522 0.2991  2 H 1.65
Ga 0.9621 0.5007 0.7992  2 H 1.65
H 0.4233 0.5793 0.7992  2 Ga 1.87
H 0.7069 0.0134 0.1031  1 Ga 1.65
H 0.0418 0.3393 0.6031  1 Ga 1.65
H 0.3255 0.7734 0.2991  2 Ga 1.87
H 0.0417 0.3395 0.9954  1 Ga 1.65
H 0.7070 0.0134 0.4955  1 Ga 1.65

## Properties
* total magnetic moment: 0.00 Bohr magnetons per cell

---

Winner for stability: c

---

a:
This record from Alexandria via LeMat-Bulk describes an optimized crystal structure of La2GaH. The functional is PBE.

Cell lengths 6.3637, 6.3579, 6.3579 Å; angles 53.25, 78.48, 101.52 degrees
Closest atoms and distances in Å follow each position.
Element x y z (fractional)
La 0.5000 0.3351 0.8351  2 H 2.36
La 0.1692 0.8218 0.6782  2 H 2.36
La 0.8308 0.1782 0.3218  2 H 2.36
La 0.5000 0.6649 0.1649  2 H 2.36
Ga 0.0000 0.2456 0.7456  2 Ga 2.85
Ga 0.0000 0.7544 0.2544  2 Ga 2.85
H 0.4887 0.2431 0.2569  4 La 2.36
H 0.5113 0.7569 0.7431  4 La 2.36

## Properties
* total magnetic moment: 0.00 Bohr magnetons per cell

---

b:
This record from Alexandria via LeMat-Bulk describes an optimized crystal structure of La2GaH. The functional is PBE.

Cell lengths 3.4458, 3.4458, 7.4836 Å; angles 90.00, 90.00, 90.00 degrees
Closest atoms and distances in Å follow each position.
Element x y z (fractional)
H 0.5000 0.5000 0.5000  8 La 2.99
Ga 0.5000 0.5000 0.0000  8 La 3.16, 4 Ga 3.45
La 0.0000 0.0000 0.7304  4 H 2.99, 4 Ga 3.16
La 0.0000 0.0000 0.2696  4 H 2.99, 4 Ga 3.16

## Properties
* total magnetic moment: 0.00 Bohr magnetons per cell

---

c:
This record from Alexandria via LeMat-Bulk describes an optimized crystal structure of La2GaH. The functional is PBE.

Cell lengths 6.0275, 6.0275, 8.2620 Å; angles 68.61, 68.61, 90.00 degrees
Closest atoms and distances in Å follow each position.
Element x y z (fractional)
H 0.5000 0.5000 0.0000  4 La 2.60
H 0.2500 0.7500 0.5000  4 La 2.60
Ga 0.0000 0.0000 0.0000  4 La 2.96
Ga 0.7500 0.2500 0.5000  4 La 2.96
La 0.5697 0.1250 0.2500  2 H 2.60
La 0.1803 0.6250 0.2500  2 H 2.60
La 0.3750 0.4303 0.7500  2 H 2.60
La 0.8750 0.8197 0.7500  2 H 2.60

## Properties
* total magnetic moment: 0.00 Bohr magnetons per cell

---

Winner for stability: a

---

a:
This record from Alexandria via LeMat-Bulk describes an optimized crystal structure of LaGa2H. The functional is PBE.

Cell lengths 6.0321, 6.0321, 6.0141 Å; angles 59.90, 59.90, 90.00 degrees
Closest atoms and distances in Å follow each position.
Element x y z (fractional)
H 0.5000 0.5000 0.0000  4 Ga 1.86
H 0.2500 0.7500 0.5000  4 Ga 1.86
Ga 0.3403 0.1250 0.2500  2 H 1.86
Ga 0.4097 0.6250 0.2500  2 H 1.86
Ga 0.3750 0.6597 0.7500  2 H 1.86
Ga 0.8750 0.5903 0.7500  2 H 1.86
La 0.0000 0.0000 0.0000  12 Ga 3.36-3.71, 4 La 3.69, 4 H 3.69
La 0.7500 0.2500 0.5000  12 Ga 3.36-3.71, 4 La 3.69, 4 H 3.69

## Properties
* total magnetic moment: 0.00 Bohr magnetons per cell

---

b:
This record from Alexandria via LeMat-Bulk describes an optimized crystal structure of LaGa2H. The functional is PBE.

Cell lengths 5.0429, 5.0429, 5.0429 Å; angles 60.00, 60.00, 60.00 degrees
Closest atoms and distances in Å follow each position.
Element x y z (fractional)
H 0.0000 0.0000 0.0000  8 Ga 3.09
Ga 0.2500 0.2500 0.2500  4 La 3.09, 4 H 3.09
Ga 0.7500 0.7500 0.7500  4 H 3.09, 4 La 3.09
La 0.5000 0.5000 0.5000  8 Ga 3.09

## Properties
* total magnetic moment: 0.00 Bohr magnetons per cell

---

Winner for stability: a

---

a:
This record from Alexandria via LeMat-Bulk describes an optimized crystal structure of LaGa3H. The functional is PBE.

Cell lengths 5.9028, 5.9028, 5.9028 Å; angles 90.00, 90.00, 90.00 degrees
Closest atoms and distances in Å follow each position.
Element x y z (fractional)
H 0.5000 0.5000 0.5000  12 Ga 4.17
Ga 0.0000 0.5000 0.0000  2 La 2.95
Ga 0.0000 0.0000 0.5000  2 La 2.95
Ga 0.5000 0.0000 0.0000  2 La 2.95
La 0.0000 0.0000 0.0000  6 Ga 2.95

## Properties
* total magnetic moment: 0.77 Bohr magnetons per cell

---

b:
This record from Alexandria via LeMat-Bulk describes an optimized crystal structure of LaGa3H. The functional is PBE.

Cell lengths 4.5151, 4.5151, 4.5151 Å; angles 90.00, 90.00, 90.00 degrees
Closest atoms and distances in Å follow each position.
Element x y z (fractional)
H 0.0000 0.0000 0.0000  6 Ga 2.26
Ga 0.0000 0.5000 0.0000  2 H 2.26
Ga 0.0000 0.0000 0.5000  2 H 2.26
Ga 0.5000 0.0000 0.0000  2 H 2.26
La 0.5000 0.5000 0.5000  12 Ga 3.19

## Properties
* total magnetic moment: 0.00 Bohr magnetons per cell

---

Winner for stability: b

---

a:
This record from Alexandria via LeMat-Bulk describes an optimized crystal structure of La2MgGaH. The functional is PBE.

Cell lengths 4.9721, 4.9721, 4.5318 Å; angles 90.00, 90.00, 90.00 degrees
Closest atoms and distances in Å follow each position.
Element x y z (fractional)
H 0.0000 0.0000 0.0000  2 Mg 2.27, 4 La 2.49
Mg 0.0000 0.0000 0.5000  2 H 2.27
Ga 0.5000 0.5000 0.5000  8 La 3.36, 4 Mg 3.52
La 0.0000 0.5000 0.0000  2 H 2.49
La 0.5000 0.0000 0.0000  2 H 2.49

## Properties
* total magnetic moment: 0.00 Bohr magnetons per cell

---

b:
This record from Alexandria via LeMat-Bulk describes an optimized crystal structure of La2MgGaH. The functional is PBE.

Cell lengths 5.1819, 5.1819, 4.2447 Å; angles 90.00, 90.00, 90.00 degrees
Closest atoms and distances in Å follow each position.
Element x y z (fractional)
H 0.0000 0.0000 0.0000  2 Ga 2.12
Mg 0.5000 0.5000 0.5000  8 La 3.35, 4 Ga 3.66
Ga 0.0000 0.0000 0.5000  2 H 2.12
La 0.0000 0.5000 0.0000  2 H 2.59
La 0.5000 0.0000 0.0000  2 H 2.59

## Properties
* total magnetic moment: 0.00 Bohr magnetons per cell

---

Winner for stability: a